Entry 1:
Here is a geometry-optimized TbCeNd6Y2 structure from the Alexandria database. Energies are from PBE-GGA.

```
data_TbCeNd6Y2
_chemical_formula_sum 'Tb2 Ce2 Nd12 Y4'
_cell_length_a 11.3633
_cell_length_b 7.0797
_cell_length_c 8.8917
_cell_angle_alpha 90.00
_cell_angle_beta 103.62
_cell_angle_gamma 90.00
_space_group_name_H-M_alt 'C 1 2/m 1'
_space_group_IT_number 12
loop_
_space_group_symop_operation_xyz
'x,y,z'
'-x,-y,-z'
'-x,y,-z'
'x,-y,z'
'x+1/2,y+1/2,z'
'-x+1/2,-y+1/2,-z'
'-x+1/2,y+1/2,-z'
'x+1/2,-y+1/2,z'
loop_
_atom_site_label
_atom_site_type_symbol
_atom_site_fract_x
_atom_site_fract_y
_atom_site_fract_z
Tb1 Tb 0.0000 0.0000 0.0000
Ce1 Ce 0.0000 0.5000 0.5000
Nd1 Nd 0.1276 0.5000 0.9178
Nd2 Nd 0.1700 0.2339 0.2968
Y1 Y 0.0935 0.0000 0.6639
```

Output
formation energy	0.24	eV/atom
DOS at the Fermi energy	45.234	states/eV/cell
raw total energy	-4.973	eV per atom

Entry 2:
Here is a geometry-optimized Tb2CeNd6Y structure from the Alexandria database. Energies are from PBE-GGA.

```
data_Tb2CeNd6Y
_chemical_formula_sum 'Tb4 Ce2 Nd12 Y2'
_cell_length_a 11.3185
_cell_length_b 7.0760
_cell_length_c 8.9105
_cell_angle_alpha 90.00
_cell_angle_beta 103.50
_cell_angle_gamma 90.00
_space_group_name_H-M_alt 'C 1 2/m 1'
_space_group_IT_number 12
loop_
_space_group_symop_operation_xyz
'x,y,z'
'-x,-y,-z'
'-x,y,-z'
'x,-y,z'
'x+1/2,y+1/2,z'
'-x+1/2,-y+1/2,-z'
'-x+1/2,y+1/2,-z'
'x+1/2,-y+1/2,z'
loop_
_atom_site_label
_atom_site_type_symbol
_atom_site_fract_x
_atom_site_fract_y
_atom_site_fract_z
Tb1 Tb 0.0902 0.0000 0.1630
Ce1 Ce 0.0000 0.5000 0.0000
Nd1 Nd 0.1240 0.5000 0.4158
Nd2 Nd 0.1742 0.2339 0.7975
Y1 Y 0.0000 0.0000 0.5000
```

Output
formation energy	0.24	eV/atom
DOS at the Fermi energy	44.100	states/eV/cell
raw total energy	-4.790	eV per atom

Entry 3:
Here is a geometry-optimized TbCe2Nd3Y6 structure from the Alexandria database. Energies are from PBE-GGA.

```
data_TbCe2Nd3Y6
_chemical_formula_sum 'Tb2 Ce4 Nd6 Y12'
_cell_length_a 6.2299
_cell_length_b 10.7880
_cell_length_c 11.8352
_cell_angle_alpha 90.00
_cell_angle_beta 100.09
_cell_angle_gamma 90.00
_space_group_name_H-M_alt 'C 1 2/m 1'
_space_group_IT_number 12
loop_
_space_group_symop_operation_xyz
'x,y,z'
'-x,-y,-z'
'-x,y,-z'
'x,-y,z'
'x+1/2,y+1/2,z'
'-x+1/2,-y+1/2,-z'
'-x+1/2,y+1/2,-z'
'x+1/2,-y+1/2,z'
loop_
_atom_site_label
_atom_site_type_symbol
_atom_site_fract_x
_atom_site_fract_y
_atom_site_fract_z
Tb1 Tb 0.0000 0.0000 0.0000
Ce1 Ce 0.0000 0.3336 0.0000
Nd1 Nd 0.0000 0.1661 0.5000
Nd2 Nd 0.0000 0.5000 0.5000
Y1 Y 0.2470 0.5000 0.2461
Y2 Y 0.2500 0.1677 0.2460
```

Output
formation energy	0.05	eV/atom
DOS at the Fermi energy	41.880	states/eV/cell
raw total energy	-5.754	eV per atom

Entry 4:
Here is a geometry-optimized Tb6Ce2NdY3 structure from the Alexandria database. Energies are from PBE-GGA.

```
data_Tb6Ce2NdY3
_chemical_formula_sum 'Tb12 Ce4 Nd2 Y6'
_cell_length_a 6.1771
_cell_length_b 10.7011
_cell_length_c 11.8239
_cell_angle_alpha 90.00
_cell_angle_beta 100.04
_cell_angle_gamma 90.00
_space_group_name_H-M_alt 'C 1 2/m 1'
_space_group_IT_number 12
loop_
_space_group_symop_operation_xyz
'x,y,z'
'-x,-y,-z'
'-x,y,-z'
'x,-y,z'
'x+1/2,y+1/2,z'
'-x+1/2,-y+1/2,-z'
'-x+1/2,y+1/2,-z'
'x+1/2,-y+1/2,z'
loop_
_atom_site_label
_atom_site_type_symbol
_atom_site_fract_x
_atom_site_fract_y
_atom_site_fract_z
Tb1 Tb 0.2471 0.0000 0.2493
Tb2 Tb 0.2482 0.1682 0.7507
Ce1 Ce 0.0000 0.1667 0.0000
Nd1 Nd 0.0000 0.5000 0.0000
Y1 Y 0.0000 0.0000 0.5000
Y2 Y 0.0000 0.3336 0.5000
```

Output
formation energy	0.05	eV/atom
DOS at the Fermi energy	46.538	states/eV/cell
raw total energy	-5.266	eV per atom

Entry 5:
Here is a geometry-optimized TbCeNdZn structure from the Alexandria database. Energies are from PBE-GGA.

```
data_TbCeNdZn
_chemical_formula_sum 'Tb4 Ce4 Nd4 Zn4'
_cell_length_a 7.5053
_cell_length_b 7.5053
_cell_length_c 7.5053
_cell_angle_alpha 90.00
_cell_angle_beta 90.00
_cell_angle_gamma 90.00
_space_group_name_H-M_alt 'F -4 3 m'
_space_group_IT_number 216
_space_group_name_Hall 'F -4 2 3'
loop_
_atom_site_label
_atom_site_type_symbol
_atom_site_fract_x
_atom_site_fract_y
_atom_site_fract_z
Tb1 Tb 0.0000 0.0000 0.0000
Ce1 Ce 0.2500 0.2500 0.2500
Nd1 Nd 0.0000 0.0000 0.5000
Zn1 Zn 0.2500 0.2500 0.7500
```

Output
formation energy	0.12	eV/atom
DOS at the Fermi energy	32.297	states/eV/cell
raw total energy	-4.036	eV per atom

Entry 6:
Here is a geometry-optimized TbCeNdZr structure from the Alexandria database. Energies are from PBE-GGA.

```
data_TbCeNdZr
_chemical_formula_sum 'Tb4 Ce4 Nd4 Zr4'
_cell_length_a 7.8146
_cell_length_b 7.8146
_cell_length_c 7.8146
_cell_angle_alpha 90.00
_cell_angle_beta 90.00
_cell_angle_gamma 90.00
_space_group_name_H-M_alt 'F -4 3 m'
_space_group_IT_number 216
_space_group_name_Hall 'F -4 2 3'
loop_
_atom_site_label
_atom_site_type_symbol
_atom_site_fract_x
_atom_site_fract_y
_atom_site_fract_z
Tb1 Tb 0.0000 0.0000 0.0000
Ce1 Ce 0.0000 0.0000 0.5000
Nd1 Nd 0.2500 0.2500 0.2500
Zr1 Zr 0.2500 0.2500 0.7500
```

Output
formation energy	0.27	eV/atom
DOS at the Fermi energy	45.357	states/eV/cell
raw total energy	-5.700	eV per atom

Entry 7:
Here is a geometry-optimized CeNdTc structure from the Alexandria database. Energies are from PBE-GGA.

```
data_CeNdTc
_chemical_formula_sum 'Ce1 Nd1 Tc1'
_cell_length_a 4.7486
_cell_length_b 4.7486
_cell_length_c 3.6118
_cell_angle_alpha 90.00
_cell_angle_beta 90.00
_cell_angle_gamma 120.00
_space_group_name_H-M_alt 'P 3 m 1'
_space_group_IT_number 156
loop_
_space_group_symop_operation_xyz
'x,y,z'
'-y,x-y,z'
'-x+y,-x,z'
'-y,-x,z'
'-x+y,y,z'
'x,x-y,z'
loop_
_atom_site_label
_atom_site_type_symbol
_atom_site_fract_x
_atom_site_fract_y
_atom_site_fract_z
Ce1 Ce 0.0000 0.0000 0.0000
Nd1 Nd 0.6667 0.3333 0.4172
Tc1 Tc 0.3333 0.6667 0.7734
```

Output
energy above the most stable polymorph in this dataset	151	meV per atom
formation energy	0.12	eV/atom
DOS at the Fermi energy	4.146	states/eV/cell
raw total energy	-6.907	eV per atom

Entry 8:
Here is a geometry-optimized Ce2NdTc9 structure from the Alexandria database. Energies are from PBE-GGA.

```
data_Ce2NdTc9
_chemical_formula_sum 'Ce4 Nd2 Tc18'
_cell_length_a 9.6182
_cell_length_b 5.2792
_cell_length_c 9.0936
_cell_angle_alpha 90.00
_cell_angle_beta 106.10
_cell_angle_gamma 90.00
_space_group_name_H-M_alt 'C 1 2/m 1'
_space_group_IT_number 12
loop_
_space_group_symop_operation_xyz
'x,y,z'
'-x,-y,-z'
'-x,y,-z'
'x,-y,z'
'x+1/2,y+1/2,z'
'-x+1/2,-y+1/2,-z'
'-x+1/2,y+1/2,-z'
'x+1/2,-y+1/2,z'
loop_
_atom_site_label
_atom_site_type_symbol
_atom_site_fract_x
_atom_site_fract_y
_atom_site_fract_z
Ce1 Ce 0.1424 0.0000 0.4290
Nd1 Nd 0.0000 0.0000 0.0000
Tc1 Tc 0.0000 0.5000 0.5000
Tc2 Tc 0.0802 0.5000 0.2577
Tc3 Tc 0.1486 0.5000 0.9889
Tc4 Tc 0.1706 0.2328 0.7574
```

Output
formation energy	0.03	eV/atom
DOS at the Fermi energy	31.795	states/eV/cell
raw total energy	-9.130	eV per atom

Entry 9:
Here is a geometry-optimized Ce3NdTc structure from the Alexandria database. Energies are from PBE-GGA.

```
data_Ce3NdTc
_chemical_formula_sum 'Ce3 Nd1 Tc1'
_cell_length_a 5.3798
_cell_length_b 5.3798
_cell_length_c 5.3798
_cell_angle_alpha 90.00
_cell_angle_beta 90.00
_cell_angle_gamma 90.00
_space_group_name_H-M_alt 'P m -3 m'
_space_group_IT_number 221
_space_group_name_Hall '-P 4 2 3'
loop_
_atom_site_label
_atom_site_type_symbol
_atom_site_fract_x
_atom_site_fract_y
_atom_site_fract_z
Ce1 Ce 0.0000 0.0000 0.5000
Nd1 Nd 0.5000 0.5000 0.5000
Tc1 Tc 0.0000 0.0000 0.0000
```

Output
energy above the most stable polymorph in this dataset	92	meV per atom
formation energy	0.11	eV/atom
DOS at the Fermi energy	15.084	states/eV/cell
raw total energy	-6.479	eV per atom

Entry 10:
Here is a geometry-optimized CeNdTc structure from the Alexandria database. Energies are from PBE-GGA.

```
data_CeNdTc
_chemical_formula_sum 'Ce4 Nd4 Tc4'
_cell_length_a 6.7007
_cell_length_b 6.6295
_cell_length_c 7.4006
_cell_angle_alpha 90.00
_cell_angle_beta 100.91
_cell_angle_gamma 90.00
_space_group_name_H-M_alt 'P 1 21/c 1'
_space_group_IT_number 14
loop_
_space_group_symop_operation_xyz
'x,y,z'
'-x,-y,-z'
'-x,y+1/2,-z+1/2'
'x,-y+1/2,z+1/2'
loop_
_atom_site_label
_atom_site_type_symbol
_atom_site_fract_x
_atom_site_fract_y
_atom_site_fract_z
Ce1 Ce 0.1758 0.1748 0.4870
Nd1 Nd 0.3506 0.6651 0.6517
Tc1 Tc 0.0349 0.5598 0.2822
```

Output
energy above the most stable polymorph in this dataset	28	meV per atom
formation energy	-0.01	eV/atom
DOS at the Fermi energy	15.465	states/eV/cell
raw total energy	-7.030	eV per atom

Entry 11:
Here is a geometry-optimized CeNdTc structure from the Alexandria database. Energies are from PBE-GGA.

```
data_CeNdTc
_chemical_formula_sum 'Ce2 Nd2 Tc2'
_cell_length_a 3.4988
_cell_length_b 3.4988
_cell_length_c 11.3971
_cell_angle_alpha 90.00
_cell_angle_beta 90.00
_cell_angle_gamma 90.00
_space_group_name_H-M_alt 'I 4 m m'
_space_group_IT_number 107
_space_group_name_Hall 'I 4 -2'
loop_
_atom_site_label
_atom_site_type_symbol
_atom_site_fract_x
_atom_site_fract_y
_atom_site_fract_z
Ce1 Ce 0.0000 0.0000 0.0000
Nd1 Nd 0.0000 0.0000 0.6996
Tc1 Tc 0.0000 0.0000 0.3722
```

Output
energy above the most stable polymorph in this dataset	75	meV per atom
formation energy	0.04	eV/atom
DOS at the Fermi energy	7.248	states/eV/cell
raw total energy	-6.984	eV per atom

Entry 12:
Here is a geometry-optimized Ce3NdTc structure from the Alexandria database. Energies are from PBE-GGA.

```
data_Ce3NdTc
_chemical_formula_sum 'Ce6 Nd2 Tc2'
_cell_length_a 3.4249
_cell_length_b 6.2151
_cell_length_c 12.0214
_cell_angle_alpha 86.76
_cell_angle_beta 88.16
_cell_angle_gamma 75.70
_space_group_name_H-M_alt 'P -1'
_space_group_IT_number 2
loop_
_space_group_symop_operation_xyz
'x,y,z'
'-x,-y,-z'
loop_
_atom_site_label
_atom_site_type_symbol
_atom_site_fract_x
_atom_site_fract_y
_atom_site_fract_z
Ce1 Ce 0.0649 0.4250 0.3209
Ce2 Ce 0.1548 0.2211 0.0362
Ce3 Ce 0.2817 0.7820 0.4958
Nd1 Nd 0.2529 0.0401 0.7623
Tc1 Tc 0.4804 0.5682 0.1259
```

Output
energy above the most stable polymorph in this dataset	0	meV per atom
formation energy	0.02	eV/atom
DOS at the Fermi energy	17.583	states/eV/cell
raw total energy	-6.571	eV per atom

Question: What is the DOS at the Fermi energy in the eleventh record?
Answer: 7.248 states/eV/cell